No. 1
Computed, not measured: Y4Tm3Cd after structural relaxation at the PBE-GGA level of DFT.

The volume is 240.75 Å³/cell. The calculation puts the formation energy at -60 meV/atom. For the theoretical density, the calculation gives 6.72 Mg/m³.

The structure belongs to space group P4/mmm (No. 123); the cell edges are 3.551, 3.551 and 19.091 Å and the angles 90.00°, 90.00° and 90.00°. The inequivalent atoms are Y at (0.000, 0.000, 0.110), Y at (0.000, 0.000, 0.370), Tm at (0.500, 0.500, 0.240), Tm at (0.500, 0.500, 0.500) and Cd at (0.500, 0.500, 0.000).

No. 2
Computed, not measured: Y14TmCd after structural relaxation at the PBE-GGA level of DFT.

The volume is 1012.25 Å³/cell. The calculation puts the formation energy at 5 meV/atom. For the theoretical density, the calculation gives 5.01 Mg/m³.

The structure belongs to space group Amm2 (No. 38); the cell edges are 10.894, 8.471 and 10.969 Å and the angles 90.00°, 90.00° and 90.00°. The inequivalent atoms are Y at (0.000, 0.000, 0.000), Y at (0.000, 0.000, 0.447), Y at (0.000, 0.201, 0.728), Y at (0.228, 0.000, 0.227), Y at (0.259, 0.209, 0.508), Y at (0.278, 0.000, 0.791), Y at (0.500, 0.208, 0.289), Tm at (0.500, 0.000, 0.020) and Cd at (0.500, 0.000, 0.572).

No. 3
Computed, not measured: YTm3Cd2 after structural relaxation at the PBE-GGA level of DFT.

The volume is 329.52 Å³/cell. The calculation puts the formation energy at -217 meV/atom. For the theoretical density, the calculation gives 8.27 Mg/m³. The polymorph energy (0 for the lowest one) is 0.000 eV/atom.

The structure belongs to space group Pmc2_1 (No. 26); the cell edges are 5.147, 9.315 and 6.873 Å and the angles 90.00°, 90.00° and 90.00°. The inequivalent atoms are Y at (0.000, 0.046, 0.000), Tm at (0.000, 0.323, 0.655), Tm at (0.500, 0.182, 0.304), Tm at (0.500, 0.454, 0.959), Cd at (0.000, 0.353, 0.206) and Cd at (0.500, 0.148, 0.752).

No. 4
Computed, not measured: Y2Tm3Cd2 after structural relaxation at the PBE-GGA level of DFT.

The volume is 585.02 Å³/cell. The calculation puts the formation energy at -157 meV/atom. For the theoretical density, the calculation gives 7.74 Mg/m³. The polymorph energy (0 for the lowest one) is 0.000 eV/atom.

The structure belongs to space group R-3m (No. 166, hexagonal axes); the cell edges are 5.3336, 5.3336 and 23.7396 Å and the angles 90.00°, 90.00° and 120.00°. The inequivalent atoms are Y at (0.0000, 0.0000, 0.0752), Tm at (0.0000, 0.0000, 0.3442), Tm at (0.0000, 0.0000, 0.5000) and Cd at (0.0000, 0.0000, 0.2126).

No. 5
Computed, not measured: YTm4Cd5 after structural relaxation at the PBE-GGA level of DFT.

The volume is 254.78 Å³/cell. The calculation puts the formation energy at -320 meV/atom. For the theoretical density, the calculation gives 8.65 Mg/m³.

The structure belongs to space group P4/mmm (No. 123); the cell edges are 3.703, 3.703 and 18.577 Å and the angles 90.00°, 90.00° and 90.00°. The inequivalent atoms are Y at (0.000, 0.000, 0.000), Tm at (0.000, 0.000, 0.202), Tm at (0.000, 0.000, 0.401), Cd at (0.500, 0.500, 0.103), Cd at (0.500, 0.500, 0.301) and Cd at (0.500, 0.500, 0.500).

No. 6
Computed, not measured: YTmCd2 after structural relaxation at the PBE-GGA level of DFT.

The volume is 412.66 Å³/cell. The calculation puts the formation energy at -335 meV/atom. For the theoretical density, the calculation gives 7.77 Mg/m³. The polymorph energy (0 for the lowest one) is 0.000 eV/atom.

The structure belongs to space group Fm-3m (No. 225); the cell edges are 7.445, 7.445 and 7.445 Å and the angles 90.00°, 90.00° and 90.00°. The inequivalent atoms are Y at (0.000, 0.000, 0.000), Tm at (0.000, 0.000, 0.500) and Cd at (0.250, 0.250, 0.250).

No. 7
Computed, not measured: Y3Tm3Cd2 after structural relaxation at the PBE-GGA level of DFT.

The volume is 943.74 Å³/cell. The calculation puts the formation energy at -63 meV/atom. For the theoretical density, the calculation gives 7.03 Mg/m³.

The structure belongs to space group Cmcm (No. 63); the cell edges are 5.147, 11.575 and 15.842 Å and the angles 90.00°, 90.00° and 90.00°. The inequivalent atoms are Y at (0.000, 0.043, 0.105), Y at (0.000, 0.271, 0.250), Tm at (0.000, 0.355, 0.034), Tm at (0.000, 0.445, 0.750) and Cd at (0.000, 0.231, 0.633).

No. 8
Computed, not measured: Y4Tm4Cd after structural relaxation at the PBE-GGA level of DFT.

The volume is 540.21 Å³/cell. The calculation puts the formation energy at -5 meV/atom. For the theoretical density, the calculation gives 7.03 Mg/m³.

The structure belongs to space group I4/mmm (No. 139); the cell edges are 10.521, 10.521 and 4.880 Å and the angles 90.00°, 90.00° and 90.00°. The inequivalent atoms are Y at (0.164, 0.164, 0.000), Tm at (0.000, 0.336, 0.500) and Cd at (0.000, 0.000, 0.500).

No. 9
Computed, not measured: YTmZnCd after structural relaxation at the PBE-GGA level of DFT.

The volume is 387.23 Å³/cell. The calculation puts the formation energy at -327 meV/atom. For the theoretical density, the calculation gives 7.47 Mg/m³. The polymorph energy (0 for the lowest one) is 0.018 eV/atom.

The structure belongs to space group F-43m (No. 216); the cell edges are 7.289, 7.289 and 7.289 Å and the angles 90.00°, 90.00° and 90.00°. The inequivalent atoms are Y at (0.000, 0.000, 0.000), Tm at (0.000, 0.000, 0.500), Zn at (0.250, 0.250, 0.750) and Cd at (0.250, 0.250, 0.250).

No. 10
Computed, not measured: YTmZnCd after structural relaxation at the PBE-GGA level of DFT.

The volume is 96.15 Å³/cell. The calculation puts the formation energy at -345 meV/atom. For the theoretical density, the calculation gives 7.52 Mg/m³. The polymorph energy (0 for the lowest one) is 0.000 eV/atom.

The structure belongs to space group P4mm (No. 99); the cell edges are 3.580, 3.580 and 7.501 Å and the angles 90.00°, 90.00° and 90.00°. The inequivalent atoms are Y at (0.000, 0.000, 0.000), Tm at (0.000, 0.000, 0.462), Zn at (0.500, 0.500, 0.239) and Cd at (0.500, 0.500, 0.725).

No. 11
Computed, not measured: Tm2Zn6Cd after structural relaxation at the PBE-GGA level of DFT.

The volume is 171.60 Å³/cell. The calculation puts the formation energy at -221 meV/atom. For the theoretical density, the calculation gives 8.16 Mg/m³.

The structure belongs to space group P6/mmm (No. 191); the cell edges are 7.7475, 7.7475 and 3.3011 Å and the angles 90.00°, 90.00° and 120.00°. The inequivalent atoms are Tm at (0.3333, 0.6667, 0.0000), Zn at (0.0000, 0.3302, 0.5000) and Cd at (0.0000, 0.0000, 0.0000).

No. 12
Computed, not measured: Tm2ZnCd5 after structural relaxation at the PBE-GGA level of DFT.

The volume is 602.22 Å³/cell. The calculation puts the formation energy at -23 meV/atom. For the theoretical density, the calculation gives 7.99 Mg/m³.

The structure belongs to space group R-3m (No. 166, hexagonal axes); the cell edges are 4.6390, 4.6390 and 32.3132 Å and the angles 90.00°, 90.00° and 120.00°. The inequivalent atoms are Tm at (0.0000, 0.0000, 0.0901), Zn at (0.0000, 0.0000, 0.0000), Cd at (0.0000, 0.0000, 0.1972), Cd at (0.0000, 0.0000, 0.3628) and Cd at (0.0000, 0.0000, 0.5000).

No. 13
Computed, not measured: Tm2Zn3Cd6 after structural relaxation at the PBE-GGA level of DFT.

The volume is 243.97 Å³/cell. The calculation puts the formation energy at -111 meV/atom. For the theoretical density, the calculation gives 8.23 Mg/m³.

The structure belongs to space group P-62m (No. 189); the cell edges are 7.9817, 7.9817 and 4.4219 Å and the angles 90.00°, 90.00° and 120.00°. The inequivalent atoms are Tm at (0.3333, 0.6667, 0.0000), Zn at (0.0000, 0.6046, 0.5000), Cd at (0.0000, 0.2846, 0.5000) and Cd at (0.0000, 0.7872, 0.0000).

No. 14
Computed, not measured: Tm2Zn16Cd after structural relaxation at the PBE-GGA level of DFT.

The volume is 926.18 Å³/cell. The calculation puts the formation energy at -200 meV/atom. For the theoretical density, the calculation gives 8.05 Mg/m³.

The structure belongs to space group R3m (No. 160, hexagonal axes); the cell edges are 8.9994, 8.9994 and 13.2051 Å and the angles 90.00°, 90.00° and 120.00°. The inequivalent atoms are Tm at (0.0000, 0.0000, 0.0000), Tm at (0.0000, 0.0000, 0.3224), Zn at (0.0000, 0.0000, 0.7711), Zn at (0.9996, 0.3022, 0.6630), Zn at (0.0144, 0.5072, 0.8149), Zn at (0.1703, 0.3405, 0.4962), Zn at (0.1723, 0.3446, 0.8434) and Cd at (0.0000, 0.0000, 0.5638).

No. 15
Computed, not measured: Tm5Zn4Cd after structural relaxation at the PBE-GGA level of DFT.

The volume is 224.96 Å³/cell. The calculation puts the formation energy at -344 meV/atom. For the theoretical density, the calculation gives 9.00 Mg/m³.

The structure belongs to space group P4/mmm (No. 123); the cell edges are 3.533, 3.533 and 18.027 Å and the angles 90.00°, 90.00° and 90.00°. The inequivalent atoms are Tm at (0.000, 0.000, 0.000), Tm at (0.000, 0.000, 0.194), Tm at (0.000, 0.000, 0.387), Zn at (0.500, 0.500, 0.097), Zn at (0.500, 0.500, 0.292) and Cd at (0.500, 0.500, 0.500).

No. 16
Computed, not measured: TmZnCd4 after structural relaxation at the PBE-GGA level of DFT.

The volume is 548.01 Å³/cell. The calculation puts the formation energy at -63 meV/atom. For the theoretical density, the calculation gives 8.29 Mg/m³.

The structure belongs to space group C2/m (No. 12); the cell edges are 15.951, 7.073 and 5.127 Å and the angles 90.00°, 108.67° and 90.00°. The inequivalent atoms are Tm at (0.199, 0.000, 0.200), Zn at (0.001, 0.500, 0.267), Cd at (0.000, 0.185, 0.000), Cd at (0.128, 0.229, 0.628) and Cd at (0.176, 0.500, 0.174).

No. 17
Computed, not measured: Tm3Zn8Cd after structural relaxation at the PBE-GGA level of DFT.

The volume is 660.47 Å³/cell. The calculation puts the formation energy at -273 meV/atom. For the theoretical density, the calculation gives 8.62 Mg/m³.

The structure belongs to space group R3m (No. 160, hexagonal axes); the cell edges are 5.3860, 5.3860 and 26.2905 Å and the angles 90.00°, 90.00° and 120.00°. The inequivalent atoms are Tm at (0.0000, 0.0000, 0.0000), Tm at (0.0000, 0.0000, 0.1253), Tm at (0.0000, 0.0000, 0.6186), Zn at (0.0000, 0.0000, 0.3107), Zn at (0.0000, 0.0000, 0.8102), Zn at (0.1675, 0.3350, 0.8948), Zn at (0.1687, 0.3374, 0.3931) and Cd at (0.0000, 0.0000, 0.4954).

No. 18
Computed, not measured: Tm4ZnCd2 after structural relaxation at the PBE-GGA level of DFT.

The volume is 560.03 Å³/cell. The calculation puts the formation energy at -135 meV/atom. For the theoretical density, the calculation gives 8.59 Mg/m³.

The structure belongs to space group R-3m (No. 166, hexagonal axes); the cell edges are 5.1036, 5.1036 and 24.8266 Å and the angles 90.00°, 90.00° and 120.00°. The inequivalent atoms are Tm at (0.0000, 0.0000, 0.1235), Tm at (0.0000, 0.0000, 0.3747), Zn at (0.0000, 0.0000, 0.5000) and Cd at (0.0000, 0.0000, 0.2492).

No. 19
Computed, not measured: TmZn10Cd after structural relaxation at the PBE-GGA level of DFT.

The volume is 204.15 Å³/cell. The calculation puts the formation energy at -94 meV/atom. For the theoretical density, the calculation gives 7.61 Mg/m³.

The structure belongs to space group Pmmm (No. 47); the cell edges are 4.277, 5.218 and 9.147 Å and the angles 90.00°, 90.00° and 90.00°. The inequivalent atoms are Tm at (0.000, 0.000, 0.000), Zn at (0.000, 0.000, 0.340), Zn at (0.000, 0.500, 0.182), Zn at (0.500, 0.000, 0.500), Zn at (0.500, 0.239, 0.236), Zn at (0.500, 0.500, 0.000) and Cd at (0.000, 0.500, 0.500).

No. 20
Computed, not measured: Tm3ZnCd2 after structural relaxation at the PBE-GGA level of DFT.

The volume is 144.37 Å³/cell. The calculation puts the formation energy at -322 meV/atom. For the theoretical density, the calculation gives 9.17 Mg/m³.

The structure belongs to space group P4/mmm (No. 123); the cell edges are 3.611, 3.611 and 11.072 Å and the angles 90.00°, 90.00° and 90.00°. The inequivalent atoms are Tm at (0.000, 0.000, 0.000), Tm at (0.000, 0.000, 0.347), Zn at (0.500, 0.500, 0.500) and Cd at (0.500, 0.500, 0.173).

No. 21
Computed, not measured: Tm5Zn2Cd after structural relaxation at the PBE-GGA level of DFT.

The volume is 804.84 Å³/cell. The calculation puts the formation energy at -214 meV/atom. For the theoretical density, the calculation gives 8.98 Mg/m³.

The structure belongs to space group I4/mcm (No. 140); the cell edges are 8.035, 8.035 and 12.465 Å and the angles 90.00°, 90.00° and 90.00°. The inequivalent atoms are Tm at (0.000, 0.000, 0.000), Tm at (0.153, 0.347, 0.147), Zn at (0.139, 0.361, 0.500) and Cd at (0.000, 0.000, 0.250).

No. 22
Computed, not measured: Tm2ZnCd after structural relaxation at the PBE-GGA level of DFT.

The volume is 305.69 Å³/cell. The calculation puts the formation energy at -156 meV/atom. For the theoretical density, the calculation gives 8.40 Mg/m³. The polymorph energy (0 for the lowest one) is 0.176 eV/atom.

The structure belongs to space group R-3m (No. 166, hexagonal axes); the cell edges are 3.5441, 3.5441 and 28.1022 Å and the angles 90.00°, 90.00° and 120.00°. The inequivalent atoms are Tm at (0.0000, 0.0000, 0.2446), Zn at (0.0000, 0.0000, 0.5000) and Cd at (0.0000, 0.0000, 0.0000).

No. 23
Computed, not measured: Tm3Zn2Cd3 after structural relaxation at the PBE-GGA level of DFT.

The volume is 183.79 Å³/cell. The calculation puts the formation energy at -293 meV/atom. For the theoretical density, the calculation gives 8.81 Mg/m³.

The structure belongs to space group P-62m (No. 189); the cell edges are 7.5403, 7.5403 and 3.7327 Å and the angles 90.00°, 90.00° and 120.00°. The inequivalent atoms are Tm at (0.0000, 0.4060, 0.0000), Zn at (0.3333, 0.6667, 0.5000) and Cd at (0.0000, 0.7638, 0.5000).